Compound: BeZn2CrH
Source: the Alexandria database
Functional: GGA-PBE
Structure: optimized geometry

The structure belongs to space group P4/mmm (No. 123); the cell edges are 4.6950, 4.6950 and 2.6165 Å and the angles 90.00°, 90.00° and 90.00°. The inequivalent atoms are Be at (0.0000, 0.0000, 0.0000), Zn at (0.0000, 0.5000, 0.0000), Cr at (0.5000, 0.5000, 0.5000) and H at (0.0000, 0.0000, 0.5000).

The value obtained for the total magnetization is 0.0 μB per formula unit.

=====

Compound: La5ZnAg
Source: the Alexandria database
Functional: GGA-PBE
Structure: optimized geometry

The structure belongs to space group C2/c (No. 15); the cell edges are 10.0021, 14.7235 and 5.8432 Å and the angles 90.00°, 90.07° and 90.00°. The inequivalent atoms are La at (0.0000, 0.2044, 0.2500), La at (0.1769, 0.4191, 0.7493), La at (0.1903, 0.1759, 0.7502), Zn at (0.0000, 0.4103, 0.2500) and Ag at (0.0000, 0.0000, 0.0000).

For the formation energy, the calculation gives -59 meV/atom. The value obtained for the total magnetization is 0.0 μB per formula unit.

=====

Compound: Ce2Al4Cu3Ag
Source: the Alexandria database
Functional: GGA-PBE
Structure: optimized geometry

The structure belongs to space group P-4m2 (No. 115); the cell edges are 4.2539, 4.2539 and 10.3048 Å and the angles 90.00°, 90.00° and 90.00°. The inequivalent atoms are Ce at (0.0000, 0.5000, 0.2453), Al at (0.0000, 0.0000, 0.0000), Al at (0.0000, 0.5000, 0.6397), Al at (0.5000, 0.5000, 0.0000), Cu at (0.0000, 0.5000, 0.8734), Cu at (0.5000, 0.5000, 0.5000) and Ag at (0.0000, 0.0000, 0.5000).

For the formation energy, the calculation gives -333 meV/atom. The value obtained for the total magnetization is 1.2 μB per formula unit.

=====

Computed values of final energy (unit: eV per atom) for the preceding records, in sequence: -3.25 -4.17 -4.53.